(1)
The following is a PBE-GGA calculation of crystalline CaHoPuO6 at its relaxed geometry, from the Alexandria database.

Computed properties:
E_form (uncorrected) ... -2.86 eV/atom
Symmetry ... P-31c (163)

```
CaHoPuO6
1.0
5.738 0.000 0.000
-2.869 4.969 0.000
0.000 0.000 9.600
Ca Ho Pu O
2 2 2 12
direct
0.000 0.000 0.000
0.000 0.000 0.500
0.333 0.667 0.250
0.667 0.333 0.750
0.333 0.667 0.750
0.667 0.333 0.250
0.032 0.374 0.638
0.032 0.658 0.862
0.342 0.374 0.862
0.342 0.968 0.638
0.374 0.032 0.138
0.374 0.342 0.362
0.626 0.658 0.638
0.626 0.968 0.862
0.658 0.032 0.362
0.658 0.626 0.138
0.968 0.342 0.138
0.968 0.626 0.362
```


(2)
The following is a PBE-GGA calculation of crystalline CaHo2PuO8 at its relaxed geometry, from the Alexandria database.

Computed properties:
E_form (uncorrected) ... -2.81 eV/atom
Symmetry ... P2/m (10)

```
CaHo2PuO8
1.0
5.059 0.000 0.000
0.000 7.048 0.000
-0.089 0.000 5.058
Ca Ho Pu O
1 2 1 8
direct
0.000 0.000 0.000
0.500 0.244 0.500
0.500 0.756 0.500
0.000 0.500 0.000
0.185 0.291 0.816
0.185 0.709 0.816
0.284 0.500 0.285
0.315 0.000 0.317
0.685 0.000 0.683
0.716 0.500 0.715
0.815 0.291 0.184
0.815 0.709 0.184
```